Here is a relaxed structure of MgMnAs2Br from the Alexandria database. Energies are from PBE-GGA.

Cell and atoms, written as POSCAR:
```
MgMnAs2Br
1.0
-0.269 1.186 -4.456
-4.575 -0.624 0.110
-0.700 5.392 1.477
As Mn Mg Br
2 1 1 1
Direct
0.000 0.500 0.000 As
0.500 0.000 0.000 As
0.000 0.000 0.000 Mn
0.500 0.500 0.500 Mg
0.000 0.000 0.500 Br
```

Results
* volume: 120.2 Å³/cell
* magnetic moment: 0.49 μB per atom
* SG: P4/mmm (123)
* polymorph energy (0 for the lowest one): 0 meV/atom
* raw formation energy: 0.124 eV per atom